Record 1
The following is a PBE calculation of MnW2Se after structural relaxation, from Alexandria.

Structure (extended XYZ):
```
4
Lattice="2.843 -0.008 0.000 -1.022 2.653 0.000 0.000 0.000 8.484" Properties=species:S:1:pos:R:3 pbc="T T T"
Mn 0.000 0.000 4.232
Se 0.910 1.322 6.232
W 0.000 0.000 0.067
W 0.910 1.322 2.194
```

Results
Magnetization in μB/f.u.: 2.75
Volume in Å³/cell: 64
Formation energy (no corrections) in meV per atom: 400.4
Space-group type: Cmm2, No. 35
Crystal system: orthorhombic


Record 2
The following is a PBE calculation of Zr4SbC after structural relaxation, from Alexandria.

Structure (extended XYZ):
```
12
Lattice="-4.297 -1.139 -4.479 1.041 -6.184 0.573 -4.174 -0.261 4.769" Properties=species:S:1:pos:R:3 pbc="T T T"
Zr -3.997 -4.895 -2.831
Zr -5.857 -1.619 1.302
Zr -2.712 -2.540 0.714
Zr -2.392 -5.528 2.486
Zr -3.433 -2.689 3.694
Zr -1.572 -5.965 -0.439
Zr -4.718 -5.044 0.149
Zr -5.038 -2.056 -1.623
Sb 0.000 0.000 0.000
Sb -1.628 -3.662 -1.953
C -4.236 -0.700 0.145
C -1.566 -3.223 2.671
```

Results
Magnetization in μB/f.u.: 0.00
Volume in Å³/cell: 251
Formation energy (no corrections) in meV per atom: -312.9
Space-group type: P2_1/c, No. 14
Crystal system: monoclinic


Record 3
The following is a PBE calculation of CsYZr2W after structural relaxation, from Alexandria.

Structure (extended XYZ):
```
5
Lattice="-2.236 -4.549 1.267 4.398 -1.496 2.391 -1.676 2.038 4.357" Properties=species:S:1:pos:R:3 pbc="T T T"
Cs 0.000 0.000 0.000
Y 0.243 -2.003 4.008
Zr 2.199 -0.748 1.196
Zr -1.118 -2.274 0.633
W -0.838 1.019 2.179
```

Results
Magnetization in μB/f.u.: 0.00
Volume in Å³/cell: 139
Total energy in eV per atom: -5.385
Space-group type: P4/mmm, No. 123
Crystal system: tetragonal


Record 4
The following is a PBE calculation of ScB after structural relaxation, from Alexandria.

Structure (extended XYZ):
```
8
Lattice="4.941 0.000 0.000 0.000 4.941 0.000 0.000 0.000 4.941" Properties=species:S:1:pos:R:3 pbc="T T T"
Sc 2.470 2.470 2.470
Sc 2.470 0.000 0.000
Sc 0.000 2.470 0.000
Sc 0.000 0.000 2.470
B 0.000 0.000 0.000
B 0.000 2.470 2.470
B 2.470 0.000 2.470
B 2.470 2.470 0.000
```

Results
Magnetization in μB/f.u.: 0.66
Volume in Å³/cell: 121
Total energy in eV per atom: -6.299
Space-group type: Fm-3m, No. 225
Crystal system: cubic


Record 5
The following is a PBE calculation of KAlN2O after structural relaxation, from Alexandria.

Structure (extended XYZ):
```
5
Lattice="-0.829 -2.292 -4.446 4.100 -2.892 0.726 -2.666 -3.237 2.166" Properties=species:S:1:pos:R:3 pbc="T T T"
K 0.000 0.000 0.000
Al 0.302 -4.210 -0.777
O -1.333 -1.619 1.083
N 2.050 -1.446 0.363
N -0.415 -1.146 -2.223
```

Results
Magnetization in μB/f.u.: 6.00
Volume in Å³/cell: 121
Formation energy (no corrections) in meV per atom: 2120.2
Space-group type: P4/mmm, No. 123
Crystal system: tetragonal


Record 6
The following is a PBE calculation of YScCo10 after structural relaxation, from Alexandria.

Structure (extended XYZ):
```
12
Lattice="3.963 0.000 0.000 0.000 4.839 0.000 0.000 0.000 8.415" Properties=species:S:1:pos:R:3 pbc="T T T"
Y 0.000 0.000 0.000
Sc 0.000 2.420 4.208
Co 0.000 0.000 2.883
Co 0.000 2.420 6.873
Co 0.000 2.420 1.542
Co 0.000 0.000 5.533
Co 1.981 0.000 4.208
Co 1.981 2.420 0.000
Co 1.981 1.215 2.131
Co 1.981 3.625 6.284
Co 1.981 3.625 2.131
Co 1.981 1.215 6.284
```

Results
Magnetization in μB/f.u.: 14.33
Volume in Å³/cell: 161
Total energy in eV per atom: -7.095
Space-group type: Pmmm, No. 47
Crystal system: orthorhombic


Record 7
The following is a PBE calculation of PmCo4Tc after structural relaxation, from Alexandria.

Structure (extended XYZ):
```
6
Lattice="4.966 0.000 0.000 2.483 4.301 0.000 2.483 1.434 4.055" Properties=species:S:1:pos:R:3 pbc="T T T"
Co 4.966 2.867 0.493
Co 4.966 1.420 2.539
Co 6.220 3.591 2.539
Co 3.713 3.591 2.539
Tc 0.000 0.000 0.000
Pm 2.483 1.434 1.014
```

Results
Magnetization in μB/f.u.: 7.99
Volume in Å³/cell: 87
Total energy in eV per atom: -7.103
Space-group type: F-43m, No. 216
Crystal system: cubic


Record 8
The following is a PBE calculation of Sc4CdSb after structural relaxation, from Alexandria.

Structure (extended XYZ):
```
6
Lattice="0.000 4.167 4.167 4.167 0.000 4.167 4.167 4.167 0.000" Properties=species:S:1:pos:R:3 pbc="T T T"
Sc 3.124 5.209 5.209
Sc 5.209 5.209 3.124
Sc 5.209 3.124 5.209
Sc 3.124 3.124 3.124
Cd 6.250 6.250 6.250
Sb 0.000 0.000 0.000
```

Results
Magnetization in μB/f.u.: 0.01
Volume in Å³/cell: 145
Formation energy (no corrections) in meV per atom: 58.0
Space-group type: F-43m, No. 216
Crystal system: cubic


Question: Look up the magnetization of the fifth one.
Answer: 6.00 μB/f.u.


Question: Number 6 is which compound?
Answer: YScCo10